NaSr2Hg: relaxed, PBE-GGA.

POSCAR file:
```
NaSr2Hg
1.0
4.3601 0.0000 0.0000
-2.1801 3.7760 0.0000
0.0000 0.0000 31.9017
Na Sr Hg
3 6 3
direct
0.0000 0.0000 0.0000
0.3333 0.6667 0.6667
0.6667 0.3333 0.3333
0.0000 0.0000 0.5668
0.0000 0.0000 0.7649
0.3333 0.6667 0.2335
0.3333 0.6667 0.4316
0.6667 0.3333 0.0982
0.6667 0.3333 0.9002
0.0000 0.0000 0.1658
0.3333 0.6667 0.8324
0.6667 0.3333 0.4991
```

Values from the calculation:
Energy ... -1.43 eV per atom
Calculated formation energy ... -0.185 eV/atom

***

LaPrSb2Pd5: relaxed, PBE-GGA.

POSCAR file:
```
LaPrSb2Pd5
1.0
4.4091 0.0000 0.0000
0.0000 4.4091 0.0000
0.0000 0.0000 9.9732
La Pr Sb Pd
1 1 2 5
direct
0.0000 0.0000 0.0000
0.0000 0.0000 0.5000
0.5000 0.5000 0.1515
0.5000 0.5000 0.8485
0.0000 0.5000 0.2965
0.0000 0.5000 0.7035
0.5000 0.0000 0.2965
0.5000 0.0000 0.7035
0.5000 0.5000 0.5000
```

Values from the calculation:
Energy ... -5.66 eV per atom
Energy relative to the elements, uncorrected ... -0.7775 eV per atom

***

Te2S2Br: relaxed, PBE-GGA.

POSCAR file:
```
Te2S2Br
1.0
7.3053 0.0000 0.0000
0.0000 7.2705 0.0000
-1.2473 0.0000 5.6920
Te S Br
4 4 2
direct
0.1637 0.0000 0.3008
0.3363 0.5000 0.6992
0.6637 0.5000 0.3008
0.8363 0.0000 0.6992
0.0000 0.2309 0.5000
0.0000 0.7691 0.5000
0.5000 0.2691 0.5000
0.5000 0.7309 0.5000
0.0000 0.5000 0.0000
0.5000 0.0000 0.0000
```

Values from the calculation:
Energy ... -3.13 eV per atom
Energy relative to the elements, uncorrected ... 0.1140 eV per atom

***

Ca2LaRh: relaxed, PBE-GGA.

POSCAR file:
```
Ca2LaRh
1.0
3.6053 0.0000 0.0000
0.0000 3.6053 0.0000
0.0000 0.0000 9.6934
Ca La Rh
2 1 1
direct
0.0000 0.0000 0.0000
0.5000 0.5000 0.3200
0.0000 0.0000 0.6534
0.5000 0.5000 0.8087
```

Values from the calculation:
Energy ... -4.38 eV per atom
Calculated formation energy ... -0.307 eV/atom

***

RbUBeO5: relaxed, PBE-GGA.

POSCAR file:
```
RbUBeO5
1.0
3.6308 -4.7222 0.0000
3.6308 4.7222 0.0000
-3.5864 0.0000 7.1967
Rb U Be O
2 2 2 10
direct
0.0858 0.9142 0.7500
0.9142 0.0858 0.2500
0.0000 0.5000 0.0000
0.5000 0.0000 0.5000
0.4444 0.5556 0.7500
0.5556 0.4444 0.2500
0.1919 0.8081 0.2500
0.2473 0.3527 0.1152
0.2646 0.5907 0.8761
0.3527 0.2473 0.6152
0.4093 0.7354 0.6239
0.5907 0.2646 0.3761
0.6473 0.7527 0.3848
0.7354 0.4093 0.1239
0.7527 0.6473 0.8848
0.8081 0.1919 0.7500
```

Values from the calculation:
Energy ... -7.47 eV per atom
Energy relative to the elements, uncorrected ... -2.3704 eV per atom

***

K2Cd3Au2: relaxed, PBE-GGA.

POSCAR file:
```
K2Cd3Au2
1.0
12.0538 0.0000 0.0000
0.0000 4.7925 0.0000
-4.0511 0.0000 6.9459
K Cd Au
4 6 4
direct
0.1444 0.0000 0.2739
0.3556 0.5000 0.7261
0.6444 0.5000 0.2739
0.8556 0.0000 0.7261
0.0000 0.5000 0.5000
0.1449 0.5000 0.9317
0.3551 0.0000 0.0683
0.5000 0.0000 0.5000
0.6449 0.0000 0.9317
0.8551 0.5000 0.0683
0.1239 0.0000 0.7023
0.3761 0.5000 0.2977
0.6239 0.5000 0.7023
0.8761 0.0000 0.2977
```

Values from the calculation:
Energy ... -1.89 eV per atom
Calculated formation energy ... -0.246 eV/atom

***

Please write out number 6 again, unchanged.
K2Cd3Au2: relaxed, PBE-GGA.

POSCAR file:
```
K2Cd3Au2
1.0
12.0538 0.0000 0.0000
0.0000 4.7925 0.0000
-4.0511 0.0000 6.9459
K Cd Au
4 6 4
direct
0.1444 0.0000 0.2739
0.3556 0.5000 0.7261
0.6444 0.5000 0.2739
0.8556 0.0000 0.7261
0.0000 0.5000 0.5000
0.1449 0.5000 0.9317
0.3551 0.0000 0.0683
0.5000 0.0000 0.5000
0.6449 0.0000 0.9317
0.8551 0.5000 0.0683
0.1239 0.0000 0.7023
0.3761 0.5000 0.2977
0.6239 0.5000 0.7023
0.8761 0.0000 0.2977
```

Values from the calculation:
Energy ... -1.89 eV per atom
Calculated formation energy ... -0.246 eV/atom

***

> Which value of energy does entry 2 give?

-5.66 eV per atom

***

> The lowest energy belongs to which entry?

RbUBeO5

***

> Which formula does entry 2 have?

LaPrSb2Pd5